Cs2SmGaI6 PBE-GGA relaxed; E = -31.41 eV per formula unit; ΔE_f (raw) = -12.7 eV per formula unit; mass density = 4146 kg/m3; magnetic moment = 0.00 μB/cell; V = 50.0 Å³/atom; SG = Pmmn
1.0
8.8889 0.0000 0.0000
0.0000 12.5971 0.0000
0.0000 0.0000 8.9228
Cs Sm Ga I
4 2 2 12
direct
0.2500 0.0050 0.2418
0.2500 0.4950 0.2418
0.7500 0.5050 0.7582
0.7500 0.9950 0.7582
0.2500 0.7500 0.7541
0.7500 0.2500 0.2459
0.2500 0.2500 0.7447
0.7500 0.7500 0.2553
0.0031 0.7500 0.5121
0.0059 0.7500 0.0000
0.2500 0.5054 0.7556
0.2500 0.9946 0.7556
0.4941 0.7500 0.0000
0.4969 0.7500 0.5121
0.5031 0.2500 0.4879
0.5059 0.2500 0.0000
0.7500 0.0054 0.2444
0.7500 0.4946 0.2444
0.9941 0.2500 0.0000
0.9969 0.2500 0.4879



Cs2GaSnI5 PBE-GGA relaxed; E = -24.75 eV per formula unit; ΔE_f (raw) = -8.3 eV per formula unit; mass density = 3984 kg/m3; magnetic moment = 0.00 μB/cell; V = 50.4 Å³/atom; SG = Cmc2_1
1.0
2.4870 -10.7320 0.0000
2.4870 10.7320 0.0000
0.0000 0.0000 17.0028
Cs Ga Sn I
4 2 2 10
direct
0.0927 0.9073 0.5000
0.1365 0.8635 0.1438
0.8635 0.1365 0.6438
0.9073 0.0927 0.0000
0.4584 0.5416 0.2956
0.5416 0.4584 0.7956
0.2176 0.7824 0.8674
0.7824 0.2176 0.3674
0.0746 0.9254 0.9099
0.2697 0.7303 0.4943
0.3104 0.6896 0.2462
0.3644 0.6356 0.8292
0.5002 0.4998 0.1193
0.4998 0.5002 0.6193
0.6356 0.3644 0.3292
0.6896 0.3104 0.7462
0.7303 0.2697 0.9943
0.9254 0.0746 0.4099



Cs2GaSnI6 PBE-GGA relaxed; E = -26.95 eV per formula unit; ΔE_f (raw) = -8.9 eV per formula unit; mass density = 4453 kg/m3; magnetic moment = 0.00 μB/cell; V = 45.3 Å³/atom; SG = I4/mmm
1.0
-4.3173 4.3173 6.0803
4.3173 -4.3173 6.0803
4.3173 4.3173 -6.0803
Cs Ga Sn I
2 1 1 6
direct
0.2500 0.7500 0.5000
0.7500 0.2500 0.5000
0.0000 0.0000 0.0000
0.5000 0.5000 0.0000
0.2453 0.2453 0.0000
0.2455 0.2455 0.4911
0.2455 0.7545 0.0000
0.7545 0.2455 0.0000
0.7545 0.7545 0.5089
0.7547 0.7547 0.0000



CsGaSnI4 PBE-GGA relaxed; E = -19.04 eV per formula unit; ΔE_f (raw) = -5.0 eV per formula unit; mass density = 3956 kg/m3; magnetic moment = 0.00 μB/cell; V = 49.7 Å³/atom; SG = P2_1/m
1.0
8.9526 0.0000 0.0000
0.0000 8.1510 0.0000
-0.3437 0.0000 9.5377
Cs Ga Sn I
2 2 2 8
direct
0.0612 0.2500 0.2423
0.9388 0.7500 0.7577
0.3659 0.7500 0.5951
0.6341 0.2500 0.4049
0.4360 0.7500 0.1287
0.5640 0.2500 0.8713
0.1642 0.7500 0.3334
0.2709 0.0035 0.9487
0.2709 0.4965 0.9487
0.3591 0.2500 0.5528
0.6409 0.7500 0.4472
0.7291 0.5035 0.0513
0.7291 0.9965 0.0513
0.8358 0.2500 0.6666



Cs2TaGaI6 PBE-GGA relaxed; E = -33.54 eV per formula unit; ΔE_f (raw) = -7.7 eV per formula unit; mass density = 4791 kg/m3; magnetic moment = 2.00 μB/cell; V = 44.3 Å³/atom; SG = Fm-3m
1.0
0.0000 6.0503 6.0503
6.0503 0.0000 6.0503
6.0503 6.0503 0.0000
Cs Ta Ga I
2 1 1 6
direct
0.2500 0.2500 0.2500
0.7500 0.7500 0.7500
0.0000 0.0000 0.0000
0.5000 0.5000 0.5000
0.2357 0.2357 0.7643
0.2357 0.7643 0.2357
0.2357 0.7643 0.7643
0.7643 0.2357 0.2357
0.7643 0.2357 0.7643
0.7643 0.7643 0.2357



CsGaTe2I PBE-GGA relaxed; E = -9.09 eV per formula unit; ΔE_f (raw) = 2.6 eV per formula unit; mass density = 3223 kg/m3; magnetic moment = 1.79 μB/cell; V = 60.2 Å³/atom; SG = P4/mmm
1.0
6.5160 0.0000 0.0000
0.0000 6.5160 0.0000
0.0000 0.0000 7.0948
Cs Ga Te I
1 1 2 1
direct
0.0000 0.0000 0.0000
0.5000 0.5000 0.5000
0.0000 0.5000 0.0000
0.5000 0.0000 0.0000
0.0000 0.0000 0.5000



CsGaTe2I PBE-GGA relaxed; E = -13.82 eV per formula unit; ΔE_f (raw) = -2.1 eV per formula unit; mass density = 4957 kg/m3; magnetic moment = 0.00 μB/cell; V = 39.2 Å³/atom; SG = P4/mmm
1.0
5.4939 0.0000 0.0000
0.0000 5.4939 0.0000
0.0000 0.0000 6.4899
Cs Ga Te I
1 1 2 1
direct
0.0000 0.0000 0.0000
0.5000 0.5000 0.5000
0.0000 0.5000 0.5000
0.5000 0.0000 0.5000
0.5000 0.5000 0.0000



CsThGa2I8 PBE-GGA relaxed; E = -36.93 eV per formula unit; ΔE_f (raw) = -10.2 eV per formula unit; mass density = 4227 kg/m3; magnetic moment = 0.00 μB/cell; V = 49.7 Å³/atom; SG = P-1
1.0
6.8339 0.0000 0.0000
-0.2266 7.9204 0.0000
-0.0208 -0.0019 11.0280
Cs Th Ga I
1 1 2 8
direct
0.0000 0.0000 0.0000
0.0000 0.0000 0.5000
0.5003 0.4999 0.2727
0.4997 0.5001 0.7273
0.2473 0.8469 0.2980
0.2491 0.4874 0.0000
0.2487 0.8482 0.7025
0.2500 0.3317 0.4995
0.7500 0.6683 0.5005
0.7513 0.1518 0.2975
0.7509 0.5126 0.0000
0.7527 0.1531 0.7020